# LaHfCr2N (PBE-GGA, relaxed)
data_LaHfCr2N
_symmetry_space_group_name_H-M 'P 1'
_symmetry_Int_Tables_number 1
_symmetry_space_group_name_Hall 'P 1'
_cell_length_a 4.117
_cell_length_b 4.117
_cell_length_c 4.581
_cell_angle_alpha 90.00
_cell_angle_beta 90.00
_cell_angle_gamma 90.00
loop_
_atom_site_label
_atom_site_fract_x
_atom_site_fract_y
_atom_site_fract_z
_atom_site_occupancy
La1 0.000 0.000 0.000 1
Hf1 0.500 0.500 0.000 1
Cr1 0.000 0.500 0.500 1
Cr2 0.500 0.000 0.500 1
N1 0.500 0.500 0.500 1
# Magnetic moment in μB per atom: 0.000
# N(E_F) in states/eV/cell: 8.5
# E_form (uncorrected) in meV per atom: 186